# 1
The following is a PBE-GGA calculation of crystalline CsGaAgAu2 at its relaxed geometry, from Alexandria via LeMat-Bulk.

Geometry as CIF:
```
data_CsGaAgAu2
_chemical_formula_sum 'Cs1 Ga1 Ag1 Au2'
_cell_length_a 5.1665
_cell_length_b 5.1665
_cell_length_c 5.2508
_cell_angle_alpha 90.00
_cell_angle_beta 90.00
_cell_angle_gamma 90.00
_space_group_name_H-M_alt 'P 4/m m m'
_space_group_IT_number 123
_space_group_name_Hall '-P 4 2'
loop_
_atom_site_label
_atom_site_type_symbol
_atom_site_fract_x
_atom_site_fract_y
_atom_site_fract_z
Cs1 Cs 0.0000 0.0000 0.0000
Ga1 Ga 0.5000 0.5000 0.5000
Ag1 Ag 0.5000 0.5000 0.0000
Au1 Au 0.0000 0.5000 0.5000
```



# 2
# TiBCl2 | Alexandria via LeMat-Bulk | PBE-GGA | optimized geometry
# Raw formation energy in eV/atom: 0.513
# Polymorph energy (0 for the lowest one) in kcal/mol of atoms: 8.123
data_TiBCl2
_chemical_formula_sum 'Ti4 B4 Cl8'
_cell_length_a 6.2262
_cell_length_b 6.2262
_cell_length_c 6.2262
_cell_angle_alpha 90.00
_cell_angle_beta 90.00
_cell_angle_gamma 90.00
_space_group_name_H-M_alt 'F m -3 m'
_space_group_IT_number 225
_space_group_name_Hall '-F 4 2 3'
loop_
_atom_site_label
_atom_site_type_symbol
_atom_site_fract_x
_atom_site_fract_y
_atom_site_fract_z
Ti1 Ti 0.0000 0.0000 0.0000
B1 B 0.0000 0.0000 0.5000
Cl1 Cl 0.2500 0.2500 0.2500



# 3
# Tm7Bi2Au2 | Alexandria via LeMat-Bulk | PBE-GGA | optimized geometry
# Polymorph energy (0 for the lowest one) in kcal/mol of atoms: 0.000
data_Tm7Bi2Au2
_chemical_formula_sum 'Tm14 Bi4 Au4'
_cell_length_a 4.0846
_cell_length_b 15.3629
_cell_length_c 9.8064
_cell_angle_alpha 90.00
_cell_angle_beta 90.00
_cell_angle_gamma 90.00
_space_group_name_H-M_alt 'I m m 2'
_space_group_IT_number 44
loop_
_space_group_symop_operation_xyz
'x,y,z'
'-x,-y,z'
'-x,y,z'
'x,-y,z'
'x+1/2,y+1/2,z+1/2'
'-x+1/2,-y+1/2,z+1/2'
'-x+1/2,y+1/2,z+1/2'
'x+1/2,-y+1/2,z+1/2'
loop_
_atom_site_label
_atom_site_type_symbol
_atom_site_fract_x
_atom_site_fract_y
_atom_site_fract_z
Tm1 Tm 0.0000 0.0000 0.0000
Tm2 Tm 0.0000 0.1256 0.4167
Tm3 Tm 0.0000 0.3113 0.6304
Tm4 Tm 0.0000 0.3604 0.2746
Bi1 Bi 0.0000 0.0000 0.6658
Bi2 Bi 0.0000 0.5000 0.7583
Au1 Au 0.0000 0.2355 0.9335



# 4
# TlAgAuF2 | Alexandria via LeMat-Bulk | PBE-GGA | optimized geometry
# Raw formation energy in eV/atom: -0.628
data_TlAgAuF2
_chemical_formula_sum 'Tl1 Ag1 Au1 F2'
_cell_length_a 4.2083
_cell_length_b 4.2083
_cell_length_c 6.3322
_cell_angle_alpha 90.00
_cell_angle_beta 90.00
_cell_angle_gamma 90.00
_space_group_name_H-M_alt 'P 4/m m m'
_space_group_IT_number 123
_space_group_name_Hall '-P 4 2'
loop_
_atom_site_label
_atom_site_type_symbol
_atom_site_fract_x
_atom_site_fract_y
_atom_site_fract_z
Tl1 Tl 0.0000 0.0000 0.0000
Ag1 Ag 0.0000 0.0000 0.5000
Au1 Au 0.5000 0.5000 0.0000
F1 F 0.0000 0.5000 0.5000



# 5
The following is a PBE-GGA calculation of crystalline NdGeHPt2 at its relaxed geometry, from Alexandria via LeMat-Bulk.

Geometry as CIF:
```
data_NdGeHPt2
_chemical_formula_sum 'Nd4 Ge4 H4 Pt8'
_cell_length_a 4.0437
_cell_length_b 11.0693
_cell_length_c 7.3189
_cell_angle_alpha 90.00
_cell_angle_beta 90.00
_cell_angle_gamma 90.00
_space_group_name_H-M_alt 'C m c m'
_space_group_IT_number 63
_space_group_name_Hall '-C 2c 2'
loop_
_atom_site_label
_atom_site_type_symbol
_atom_site_fract_x
_atom_site_fract_y
_atom_site_fract_z
Nd1 Nd 0.0000 0.0544 0.2500
Ge1 Ge 0.0000 0.2283 0.7500
H1 H 0.0000 0.5000 0.0000
Pt1 Pt 0.0000 0.3420 0.0535
```



# 6
The following is a PBE-GGA calculation of crystalline NaLuInBi at its relaxed geometry, from Alexandria via LeMat-Bulk.

Geometry as CIF:
```
data_NaLuInBi
_chemical_formula_sum 'Na4 Lu4 In4 Bi4'
_cell_length_a 7.6276
_cell_length_b 7.6276
_cell_length_c 7.6276
_cell_angle_alpha 90.00
_cell_angle_beta 90.00
_cell_angle_gamma 90.00
_space_group_name_H-M_alt 'F -4 3 m'
_space_group_IT_number 216
_space_group_name_Hall 'F -4 2 3'
loop_
_atom_site_label
_atom_site_type_symbol
_atom_site_fract_x
_atom_site_fract_y
_atom_site_fract_z
Na1 Na 0.0000 0.0000 0.0000
Lu1 Lu 0.0000 0.0000 0.5000
In1 In 0.2500 0.2500 0.2500
Bi1 Bi 0.2500 0.2500 0.7500
```



# 7
The following is a PBE-GGA calculation of crystalline RbMn2CoPd at its relaxed geometry, from Alexandria via LeMat-Bulk.

Geometry as CIF:
```
data_RbMn2CoPd
_chemical_formula_sum 'Rb1 Mn2 Co1 Pd1'
_cell_length_a 4.4229
_cell_length_b 4.4229
_cell_length_c 4.9659
_cell_angle_alpha 90.00
_cell_angle_beta 90.00
_cell_angle_gamma 90.00
_space_group_name_H-M_alt 'P 4/m m m'
_space_group_IT_number 123
_space_group_name_Hall '-P 4 2'
loop_
_atom_site_label
_atom_site_type_symbol
_atom_site_fract_x
_atom_site_fract_y
_atom_site_fract_z
Rb1 Rb 0.0000 0.0000 0.0000
Mn1 Mn 0.0000 0.5000 0.0000
Co1 Co 0.5000 0.5000 0.5000
Pd1 Pd 0.0000 0.0000 0.5000
```



# 8
The following is a PBE-GGA calculation of crystalline AcHfGe3 at its relaxed geometry, from Alexandria via LeMat-Bulk.

Geometry as CIF:
```
data_AcHfGe3
_chemical_formula_sum 'Ac2 Hf2 Ge6'
_cell_length_a 6.5461
_cell_length_b 6.5461
_cell_length_c 6.2114
_cell_angle_alpha 90.00
_cell_angle_beta 90.00
_cell_angle_gamma 120.00
_space_group_name_H-M_alt 'P 63/m m c'
_space_group_IT_number 194
_space_group_name_Hall '-P 6c 2c'
loop_
_atom_site_label
_atom_site_type_symbol
_atom_site_fract_x
_atom_site_fract_y
_atom_site_fract_z
Ac1 Ac 0.3333 0.6667 0.2500
Hf1 Hf 0.0000 0.0000 0.0000
Ge1 Ge 0.2004 0.4008 0.7500
```



# 9
# Be2V2Mo | Alexandria via LeMat-Bulk | PBE-GGA | optimized geometry
# Polymorph energy (0 for the lowest one) in kcal/mol of atoms: 2.312
data_Be2V2Mo
_chemical_formula_sum 'Be4 V4 Mo2'
_cell_length_a 3.3514
_cell_length_b 3.3514
_cell_length_c 10.4568
_cell_angle_alpha 90.00
_cell_angle_beta 90.00
_cell_angle_gamma 90.00
_space_group_name_H-M_alt 'I 4/m m m'
_space_group_IT_number 139
_space_group_name_Hall '-I 4 2'
loop_
_atom_site_label
_atom_site_type_symbol
_atom_site_fract_x
_atom_site_fract_y
_atom_site_fract_z
Be1 Be 0.0000 0.0000 0.0906
V1 V 0.0000 0.5000 0.2500
Mo1 Mo 0.0000 0.0000 0.5000



# 10
# BaLiIn4 | Alexandria via LeMat-Bulk | PBE-GGA | optimized geometry
# Polymorph energy (0 for the lowest one) in kcal/mol of atoms: 2.116
data_BaLiIn4
_chemical_formula_sum 'Ba4 Li4 In16'
_cell_length_a 5.3639
_cell_length_b 16.2638
_cell_length_c 7.9529
_cell_angle_alpha 90.00
_cell_angle_beta 90.00
_cell_angle_gamma 90.00
_space_group_name_H-M_alt 'C m c m'
_space_group_IT_number 63
_space_group_name_Hall '-C 2c 2'
loop_
_atom_site_label
_atom_site_type_symbol
_atom_site_fract_x
_atom_site_fract_y
_atom_site_fract_z
Ba1 Ba 0.0000 0.1078 0.2500
Li1 Li 0.0000 0.3559 0.2500
In1 In 0.0000 0.0981 0.7500
In2 In 0.0000 0.2763 0.5665
In3 In 0.0000 0.5000 0.0000



# 11
# CrReOs2 | Alexandria via LeMat-Bulk | PBE-GGA | optimized geometry
# Polymorph energy (0 for the lowest one) in kcal/mol of atoms: 8.604
data_CrReOs2
_chemical_formula_sum 'Cr2 Re2 Os4'
_cell_length_a 2.8439
_cell_length_b 4.5095
_cell_length_c 8.8730
_cell_angle_alpha 90.00
_cell_angle_beta 90.00
_cell_angle_gamma 90.00
_space_group_name_H-M_alt 'C m m 2'
_space_group_IT_number 35
loop_
_space_group_symop_operation_xyz
'x,y,z'
'-x,-y,z'
'-x,y,z'
'x,-y,z'
'x+1/2,y+1/2,z'
'-x+1/2,-y+1/2,z'
'-x+1/2,y+1/2,z'
'x+1/2,-y+1/2,z'
loop_
_atom_site_label
_atom_site_type_symbol
_atom_site_fract_x
_atom_site_fract_y
_atom_site_fract_z
Cr1 Cr 0.0000 0.0000 0.0000
Re1 Re 0.0000 0.5000 0.2389
Os1 Os 0.0000 0.0000 0.4983
Os2 Os 0.0000 0.5000 0.7637



# 12
The following is a PBE-GGA calculation of crystalline Pm7CdIr2 at its relaxed geometry, from Alexandria via LeMat-Bulk.

Geometry as CIF:
```
data_Pm7CdIr2
_chemical_formula_sum 'Pm14 Cd2 Ir4'
_cell_length_a 9.1239
_cell_length_b 13.9632
_cell_length_c 5.4349
_cell_angle_alpha 90.00
_cell_angle_beta 90.00
_cell_angle_gamma 90.00
_space_group_name_H-M_alt 'C m m m'
_space_group_IT_number 65
_space_group_name_Hall '-C 2 2'
loop_
_atom_site_label
_atom_site_type_symbol
_atom_site_fract_x
_atom_site_fract_y
_atom_site_fract_z
Pm1 Pm 0.0000 0.0000 0.0000
Pm2 Pm 0.0000 0.2045 0.5000
Pm3 Pm 0.1855 0.3716 0.0000
Cd1 Cd 0.0000 0.5000 0.5000
Ir1 Ir 0.0000 0.2057 0.0000
```



Number 1: raw total energy -13.61 eV for the cell shown, V 28.03 Å³/atom. Number 2: raw total energy -64.86 eV for the cell shown, V 15.08 Å³/atom. Number 3: raw total energy -104.78 eV for the cell shown, V 27.97 Å³/atom. Number 4: raw total energy -15.38 eV for the cell shown, V 22.43 Å³/atom. Number 5: raw total energy -115.76 eV for the cell shown, V 16.38 Å³/atom. Number 6: raw total energy -53.74 eV for the cell shown, V 27.74 Å³/atom. Number 7: raw total energy -16.49 eV for the cell shown, V 19.43 Å³/atom. Number 8: raw total energy -62.48 eV for the cell shown, V 23.05 Å³/atom. Number 9: raw total energy -73.19 eV for the cell shown, V 11.75 Å³/atom. Number 10: raw total energy -64.58 eV for the cell shown, V 28.91 Å³/atom. Number 11: raw total energy -85.48 eV for the cell shown, V 14.22 Å³/atom. Number 12: raw total energy -107.71 eV for the cell shown, V 34.62 Å³/atom.